1.
# LaFeSe2 (PBE, relaxed)
data_LaFeSe2
_cell_length_a 4.2182
_cell_length_b 4.2182
_cell_length_c 17.8510
_cell_angle_alpha 90.00
_cell_angle_beta 90.00
_cell_angle_gamma 120.00
_symmetry_space_group_name_H-M 'R -3 m'
_symmetry_Int_Tables_number 166
_symmetry_space_group_name_Hall '-R 3 2"'
loop_
_atom_site_label
_atom_site_type_symbol
_atom_site_fract_x
_atom_site_fract_y
_atom_site_fract_z
La1 La 0.0000 0.0000 0.0000
Fe1 Fe 0.0000 0.0000 0.5000
Se1 Se 0.0000 0.0000 0.2362
# **Crystal system**: trigonal
# **V**: 22.919 Å³/atom
# **Fermi-level density of states**: 1.103 states/eV/atom
# **Energy relative to the lowest polymorph listed for this composition**: 0.0379 eV/atom
# **Uncorrected formation energy**: -974.7 meV/atom
# **Total moment**: 9.0 μB per cell

***

2.
# NaIn2HgI8 (PBE, relaxed)
data_NaIn2HgI8
_cell_length_a 10.7137
_cell_length_b 10.7137
_cell_length_c 9.7130
_cell_angle_alpha 90.00
_cell_angle_beta 90.00
_cell_angle_gamma 90.00
_symmetry_space_group_name_H-M 'I -4 m 2'
_symmetry_Int_Tables_number 119
_symmetry_space_group_name_Hall 'I -4 -2'
loop_
_atom_site_label
_atom_site_type_symbol
_atom_site_fract_x
_atom_site_fract_y
_atom_site_fract_z
Na1 Na 0.0000 0.0000 0.0000
In1 In 0.0000 0.0000 0.5000
In2 In 0.0000 0.5000 0.7500
Hg1 Hg 0.0000 0.5000 0.2500
I1 I 0.0000 0.1973 0.3124
I2 I 0.0000 0.3036 0.9339
# **Crystal system**: tetragonal
# **V**: 46.453 Å³/atom
# **Fermi-level density of states**: 0.275 states/eV/atom
# **Uncorrected formation energy**: -489.1 meV/atom
# **Total moment**: 0.0 μB per cell

***

3.
# Sr2LiTmAu6 (PBE, relaxed)
data_Sr2LiTmAu6
_cell_length_a 5.8623
_cell_length_b 6.2313
_cell_length_c 7.3863
_cell_angle_alpha 71.63
_cell_angle_beta 69.03
_cell_angle_gamma 76.02
_symmetry_space_group_name_H-M 'P -1'
_symmetry_Int_Tables_number 2
_symmetry_space_group_name_Hall '-P 1'
loop_
_atom_site_label
_atom_site_type_symbol
_atom_site_fract_x
_atom_site_fract_y
_atom_site_fract_z
Sr1 Sr 0.0132 0.3725 0.2902
Li1 Li 0.5000 0.0000 0.0000
Tm1 Tm 0.5000 0.0000 0.5000
Au1 Au 0.0134 0.0923 0.7818
Au2 Au 0.3703 0.6979 0.9008
Au3 Au 0.4420 0.6485 0.3220
# **Crystal system**: triclinic
# **V**: 23.657 Å³/atom
# **Fermi-level density of states**: 0.341 states/eV/atom
# **ΔH_f (0 K)**: -0.600 eV/atom
# **Total moment**: 0.0 μB per cell

***

4.
# KPaO2 (PBE, relaxed)
data_KPaO2
_cell_length_a 3.0750
_cell_length_b 3.0750
_cell_length_c 6.6256
_cell_angle_alpha 90.00
_cell_angle_beta 90.00
_cell_angle_gamma 90.00
_symmetry_space_group_name_H-M 'P 4/m m m'
_symmetry_Int_Tables_number 123
_symmetry_space_group_name_Hall '-P 4 2'
loop_
_atom_site_label
_atom_site_type_symbol
_atom_site_fract_x
_atom_site_fract_y
_atom_site_fract_z
K1 K 0.0000 0.0000 0.0000
Pa1 Pa 0.0000 0.0000 0.5000
O1 O 0.5000 0.5000 0.3012
# **Crystal system**: tetragonal
# **V**: 15.662 Å³/atom
# **Fermi-level density of states**: 0.678 states/eV/atom
# **Energy relative to the lowest polymorph listed for this composition**: 0.3288 eV/atom
# **Uncorrected formation energy**: -2009.3 meV/atom
# **Total moment**: 1.5 μB per cell

***

5.
# Ca2TlRh (PBE, relaxed)
data_Ca2TlRh
_cell_length_a 3.6057
_cell_length_b 3.6057
_cell_length_c 27.9415
_cell_angle_alpha 90.00
_cell_angle_beta 90.00
_cell_angle_gamma 120.00
_symmetry_space_group_name_H-M 'R -3 m'
_symmetry_Int_Tables_number 166
_symmetry_space_group_name_Hall '-R 3 2"'
loop_
_atom_site_label
_atom_site_type_symbol
_atom_site_fract_x
_atom_site_fract_y
_atom_site_fract_z
Ca1 Ca 0.0000 0.0000 0.2363
Tl1 Tl 0.0000 0.0000 0.0000
Rh1 Rh 0.0000 0.0000 0.5000
# **Crystal system**: trigonal
# **V**: 26.217 Å³/atom
# **Fermi-level density of states**: 0.723 states/eV/atom
# **Energy relative to the lowest polymorph listed for this composition**: 0.1796 eV/atom
# **ΔH_f (0 K)**: -0.192 eV/atom
# **Total moment**: 0.0 μB per cell

***

6.
# ScSn2PSe (PBE, relaxed)
data_ScSn2PSe
_cell_length_a 5.6665
_cell_length_b 5.6665
_cell_length_c 4.8691
_cell_angle_alpha 90.00
_cell_angle_beta 90.00
_cell_angle_gamma 90.00
_symmetry_space_group_name_H-M 'P 4/m m m'
_symmetry_Int_Tables_number 123
_symmetry_space_group_name_Hall '-P 4 2'
loop_
_atom_site_label
_atom_site_type_symbol
_atom_site_fract_x
_atom_site_fract_y
_atom_site_fract_z
Sc1 Sc 0.0000 0.0000 0.0000
Sn1 Sn 0.0000 0.5000 0.0000
P1 P 0.5000 0.5000 0.5000
Se1 Se 0.0000 0.0000 0.5000
# **Crystal system**: tetragonal
# **V**: 31.269 Å³/atom
# **Fermi-level density of states**: 0.679 states/eV/atom
# **Uncorrected formation energy**: 435.2 meV/atom
# **Total moment**: 1.1 μB per cell

***

7.
# Cs2NiAsCl6 (PBE, relaxed)
data_Cs2NiAsCl6
_cell_length_a 10.1762
_cell_length_b 10.1762
_cell_length_c 10.1762
_cell_angle_alpha 90.00
_cell_angle_beta 90.00
_cell_angle_gamma 90.00
_symmetry_space_group_name_H-M 'F m -3 m'
_symmetry_Int_Tables_number 225
_symmetry_space_group_name_Hall '-F 4 2 3'
loop_
_atom_site_label
_atom_site_type_symbol
_atom_site_fract_x
_atom_site_fract_y
_atom_site_fract_z
Cs1 Cs 0.2500 0.2500 0.2500
Ni1 Ni 0.0000 0.0000 0.0000
As1 As 0.0000 0.0000 0.5000
Cl1 Cl 0.0000 0.0000 0.2447
# **Crystal system**: cubic
# **V**: 26.345 Å³/atom
# **Fermi-level density of states**: 0.348 states/eV/atom
# **Uncorrected formation energy**: -1097.5 meV/atom
# **Total moment**: 4.0 μB per cell

***

8.
# Li2LaSi (PBE, relaxed)
data_Li2LaSi
_cell_length_a 6.9904
_cell_length_b 6.9904
_cell_length_c 6.9904
_cell_angle_alpha 90.00
_cell_angle_beta 90.00
_cell_angle_gamma 90.00
_symmetry_space_group_name_H-M 'F -4 3 m'
_symmetry_Int_Tables_number 216
_symmetry_space_group_name_Hall 'F -4 2 3'
loop_
_atom_site_label
_atom_site_type_symbol
_atom_site_fract_x
_atom_site_fract_y
_atom_site_fract_z
Li1 Li 0.0000 0.0000 0.0000
Li2 Li 0.2500 0.2500 0.2500
La1 La 0.0000 0.0000 0.5000
Si1 Si 0.2500 0.2500 0.7500
# **Crystal system**: cubic
# **V**: 21.349 Å³/atom
# **Fermi-level density of states**: 0.688 states/eV/atom
# **Uncorrected formation energy**: -279.9 meV/atom
# **Total moment**: 0.0 μB per cell